# Te2Mo2As, optimized geometry, DFT PBE-GGA
data_Te2Mo2As
_cell_length_a 6.1361
_cell_length_b 6.1361
_cell_length_c 6.1361
_cell_angle_alpha 134.83
_cell_angle_beta 134.83
_cell_angle_gamma 65.79
_space_group_name_H-M_alt 'P 1'
_space_group_IT_number 1
_space_group_name_Hall 'P 1'
loop_
_atom_site_label
_atom_site_fract_x
_atom_site_fract_y
_atom_site_fract_z
Mo1 0.2500 0.7500 0.5000
Te1 0.3630 0.3630 0.0000
As1 0.0000 0.0000 0.0000
Te2 0.6370 0.6370 0.0000
Mo2 0.7500 0.2500 0.5000
# M_tot	0.69	μB per formula unit
# SG	I4/mmm
# energy	-5.855	eV/atom



# Te2Mo2As, optimized geometry, DFT PBE-GGA
data_Te2Mo2As
_cell_length_a 6.2628
_cell_length_b 6.2628
_cell_length_c 6.2628
_cell_angle_alpha 136.57
_cell_angle_beta 136.57
_cell_angle_gamma 63.09
_space_group_name_H-M_alt 'P 1'
_space_group_IT_number 1
_space_group_name_Hall 'P 1'
loop_
_atom_site_label
_atom_site_fract_x
_atom_site_fract_y
_atom_site_fract_z
Mo1 0.3913 0.3913 0.0000
Te1 0.2500 0.7500 0.5000
As1 0.0000 0.0000 0.0000
Te2 0.7500 0.2500 0.5000
Mo2 0.6087 0.6087 0.0000
# M_tot	0.16	μB per formula unit
# SG	I4/mmm
# energy	-5.855	eV/atom



# TeMoAs2, optimized geometry, DFT PBE-GGA
data_TeMoAs2
_cell_length_a 4.7405
_cell_length_b 4.7405
_cell_length_c 4.7405
_cell_angle_alpha 60.00
_cell_angle_beta 60.00
_cell_angle_gamma 60.00
_space_group_name_H-M_alt 'P 1'
_space_group_IT_number 1
_space_group_name_Hall 'P 1'
loop_
_atom_site_label
_atom_site_fract_x
_atom_site_fract_y
_atom_site_fract_z
Te1 0.0000 0.0000 0.0000
As1 0.5000 0.5000 0.5000
As2 0.2500 0.2500 0.2500
Mo1 0.7500 0.7500 0.7500
# M_tot	0.10	μB per formula unit
# SG	F-43m
# energy	-5.301	eV/atom



# TeMoAs3, optimized geometry, DFT PBE-GGA
data_TeMoAs3
_cell_length_a 8.0632
_cell_length_b 8.0632
_cell_length_c 10.4289
_cell_angle_alpha 128.31
_cell_angle_beta 128.31
_cell_angle_gamma 25.11
_space_group_name_H-M_alt 'P 1'
_space_group_IT_number 1
_space_group_name_Hall 'P 1'
loop_
_atom_site_label
_atom_site_fract_x
_atom_site_fract_y
_atom_site_fract_z
Mo1 0.2931 0.2931 0.1461
As1 0.6406 0.6406 0.0225
As2 0.7468 0.7468 0.6528
Te1 0.6035 0.6035 0.3090
As3 0.0485 0.0485 0.6527
Mo2 0.7069 0.7069 0.8539
As4 0.2532 0.2532 0.3472
Te2 0.3965 0.3965 0.6910
As5 0.3594 0.3594 0.9775
As6 0.9515 0.9515 0.3473
# M_tot	0.00	μB per formula unit
# SG	C2/m
# energy	-5.505	eV/atom



# TlMoAs2, optimized geometry, DFT PBE-GGA
data_TlMoAs2
_cell_length_a 4.7772
_cell_length_b 4.7772
_cell_length_c 4.7772
_cell_angle_alpha 60.00
_cell_angle_beta 60.00
_cell_angle_gamma 60.00
_space_group_name_H-M_alt 'P 1'
_space_group_IT_number 1
_space_group_name_Hall 'P 1'
loop_
_atom_site_label
_atom_site_fract_x
_atom_site_fract_y
_atom_site_fract_z
As1 0.2500 0.2500 0.2500
As2 0.0000 0.0000 0.0000
Tl1 0.7500 0.7500 0.7500
Mo1 0.5000 0.5000 0.5000
# M_tot	1.19	μB per formula unit
# SG	F-43m
# energy	-4.812	eV/atom



# TlMoAs, optimized geometry, DFT PBE-GGA
data_TlMoAs
_cell_length_a 4.5141
_cell_length_b 4.5141
_cell_length_c 4.5141
_cell_angle_alpha 60.00
_cell_angle_beta 60.00
_cell_angle_gamma 60.00
_space_group_name_H-M_alt 'P 1'
_space_group_IT_number 1
_space_group_name_Hall 'P 1'
loop_
_atom_site_label
_atom_site_fract_x
_atom_site_fract_y
_atom_site_fract_z
Mo1 0.0000 0.0000 0.0000
Tl1 0.7500 0.7500 0.7500
As1 0.2500 0.2500 0.2500
# M_tot	0.01	μB per formula unit
# SG	F-43m
# energy	-5.224	eV/atom



# TlMo3As5, optimized geometry, DFT PBE-GGA
data_TlMo3As5
_cell_length_a 5.3700
_cell_length_b 5.3700
_cell_length_c 7.9022
_cell_angle_alpha 90.00
_cell_angle_beta 90.00
_cell_angle_gamma 120.00
_space_group_name_H-M_alt 'P 1'
_space_group_IT_number 1
_space_group_name_Hall 'P 1'
loop_
_atom_site_label
_atom_site_fract_x
_atom_site_fract_y
_atom_site_fract_z
Mo1 0.5000 0.5000 0.5000
Tl1 0.0000 0.0000 0.0000
As1 0.0000 0.0000 0.5000
Mo2 0.5000 0.0000 0.5000
As2 0.3333 0.6667 0.7732
Mo3 0.0000 0.5000 0.5000
As3 0.6667 0.3333 0.2268
As4 0.6667 0.3333 0.7732
As5 0.3333 0.6667 0.2268
# M_tot	0.01	μB per formula unit
# SG	P6/mmm
# energy	-6.407	eV/atom



# UMoAs, optimized geometry, DFT PBE-GGA
data_UMoAs
_cell_length_a 4.4796
_cell_length_b 4.4796
_cell_length_c 4.4796
_cell_angle_alpha 60.00
_cell_angle_beta 60.00
_cell_angle_gamma 60.00
_space_group_name_H-M_alt 'P 1'
_space_group_IT_number 1
_space_group_name_Hall 'P 1'
loop_
_atom_site_label
_atom_site_fract_x
_atom_site_fract_y
_atom_site_fract_z
As1 0.2500 0.2500 0.2500
U1 0.7500 0.7500 0.7500
Mo1 0.0000 0.0000 0.0000
# M_tot	2.14	μB per formula unit
# SG	F-43m
# energy	-8.694	eV/atom



# UMoAs, optimized geometry, DFT PBE-GGA
data_UMoAs
_cell_length_a 4.5537
_cell_length_b 4.5537
_cell_length_c 4.5537
_cell_angle_alpha 60.00
_cell_angle_beta 60.00
_cell_angle_gamma 60.00
_space_group_name_H-M_alt 'P 1'
_space_group_IT_number 1
_space_group_name_Hall 'P 1'
loop_
_atom_site_label
_atom_site_fract_x
_atom_site_fract_y
_atom_site_fract_z
Mo1 0.7500 0.7500 0.7500
As1 0.2500 0.2500 0.2500
U1 0.0000 0.0000 0.0000
# M_tot	0.08	μB per formula unit
# SG	F-43m
# energy	-8.155	eV/atom



# MoAsW2, optimized geometry, DFT PBE-GGA
data_MoAsW2
_cell_length_a 4.4698
_cell_length_b 4.4698
_cell_length_c 4.4698
_cell_angle_alpha 60.00
_cell_angle_beta 60.00
_cell_angle_gamma 60.00
_space_group_name_H-M_alt 'P 1'
_space_group_IT_number 1
_space_group_name_Hall 'P 1'
loop_
_atom_site_label
_atom_site_fract_x
_atom_site_fract_y
_atom_site_fract_z
W1 0.0000 0.0000 0.0000
As1 0.5000 0.5000 0.5000
W2 0.7500 0.7500 0.7500
Mo1 0.2500 0.2500 0.2500
# M_tot	0.01	μB per formula unit
# SG	F-43m
# energy	-9.965	eV/atom



# MoAs3W, optimized geometry, DFT PBE-GGA
data_MoAs3W
_cell_length_a 6.9181
_cell_length_b 6.9181
_cell_length_c 9.6752
_cell_angle_alpha 123.68
_cell_angle_beta 123.68
_cell_angle_gamma 27.59
_space_group_name_H-M_alt 'P 1'
_space_group_IT_number 1
_space_group_name_Hall 'P 1'
loop_
_atom_site_label
_atom_site_fract_x
_atom_site_fract_y
_atom_site_fract_z
As1 0.8769 0.8769 0.9554
As2 0.4154 0.4154 0.6853
W1 0.3473 0.3473 0.1294
As3 0.5846 0.5846 0.3147
As4 0.1231 0.1231 0.0446
As5 0.8940 0.8940 0.3704
Mo1 0.2476 0.2476 0.3706
Mo2 0.7524 0.7524 0.6294
As6 0.1060 0.1060 0.6296
W2 0.6527 0.6527 0.8706
# M_tot	0.00	μB per formula unit
# SG	C2/m
# energy	-7.735	eV/atom



# YMo2As2, optimized geometry, DFT PBE-GGA
data_YMo2As2
_cell_length_a 6.1936
_cell_length_b 6.1936
_cell_length_c 6.1936
_cell_angle_alpha 140.64
_cell_angle_beta 140.64
_cell_angle_gamma 56.89
_space_group_name_H-M_alt 'P 1'
_space_group_IT_number 1
_space_group_name_Hall 'P 1'
loop_
_atom_site_label
_atom_site_fract_x
_atom_site_fract_y
_atom_site_fract_z
Mo1 0.7500 0.2500 0.5000
Mo2 0.2500 0.7500 0.5000
As1 0.3797 0.3797 0.0000
Y1 0.0000 0.0000 0.0000
As2 0.6203 0.6203 0.0000
# M_tot	0.02	μB per formula unit
# SG	I4/mmm
# energy	-7.877	eV/atom